Below is a relaxed structure of DyCuPb2, with properties calculated at the PBE level.

Computed properties:
SG: P4/mmm (123)
DFT formation energy in eV/atom: -0.161
Final energy in eV/atom: -4.190
M_tot in μB per atom: 0.000
Relative energy among the computed polymorphs in meV/atom: 0

Cell lengths 4.437, 4.698, 4.698 Å; angles 90.00, 90.00, 90.00 degrees
Fractional coordinates of all 4 atoms:
Pb 0.000 0.000 0.500
Pb 0.000 0.500 0.000
Cu 0.500 0.000 0.000
Dy 0.500 0.500 0.500


Below is a relaxed structure of Dy2CuPb, with properties calculated at the PBE level.

Computed properties:
SG: P4/mmm (123)
DFT formation energy in eV/atom: -0.274
Final energy in eV/atom: -4.527
M_tot in μB per atom: 0.073

Cell lengths 4.012, 4.984, 4.984 Å; angles 90.00, 90.00, 90.00 degrees
Fractional coordinates of all 4 atoms:
Pb 0.500 0.500 0.500
Cu 0.500 0.000 0.000
Dy 0.000 0.000 0.500
Dy 0.000 0.500 0.000


Below is a relaxed structure of Dy3Cu3Pb4, with properties calculated at the PBE level.

Computed properties:
SG: I-43d (220)
DFT formation energy in eV/atom: -0.290
Final energy in eV/atom: -4.383
M_tot in μB per atom: 0.000

Cell lengths 8.491, 8.491, 8.491 Å; angles 109.47, 109.47, 109.47 degrees
Fractional coordinates of all 20 atoms:
Dy 0.625 0.750 0.875
Dy 0.875 0.250 0.625
Dy 0.125 0.375 0.250
Dy 0.375 0.125 0.750
Dy 0.250 0.875 0.125
Dy 0.750 0.625 0.375
Cu 0.125 0.750 0.375
Cu 0.375 0.250 0.125
Cu 0.625 0.875 0.250
Cu 0.875 0.625 0.750
Cu 0.250 0.375 0.625
Cu 0.750 0.125 0.875
Pb 0.000 0.000 0.339
Pb 0.500 0.339 0.500
Pb 0.661 0.161 0.161
Pb 0.000 0.000 0.839
Pb 0.839 0.500 0.000
Pb 0.500 0.839 0.500
Pb 0.339 0.500 0.000
Pb 0.161 0.661 0.661


Below is a relaxed structure of DyCuPb2, with properties calculated at the PBE level.

Computed properties:
SG: R-3m (166)
DFT formation energy in eV/atom: 0.208
Final energy in eV/atom: -3.821
M_tot in μB per atom: 0.000
Relative energy among the computed polymorphs in meV/atom: 369

Cell lengths 3.494, 3.494, 10.590 Å; angles 80.50, 80.50, 60.00 degrees
Fractional coordinates of all 4 atoms:
Pb 0.102 0.102 0.695
Pb 0.898 0.898 0.305
Cu 0.500 0.500 0.500
Dy 0.000 0.000 0.000


Below is a relaxed structure of Dy5Cu2Pb5, with properties calculated at the PBE level.

Computed properties:
SG: C2/m (12)
DFT formation energy in eV/atom: -0.392
Final energy in eV/atom: -4.537
M_tot in μB per atom: 0.000

Cell lengths 4.542, 8.489, 8.812 Å; angles 78.37, 75.07, 74.48 degrees
Fractional coordinates of all 12 atoms:
Dy 0.500 0.500 0.500
Dy 0.389 0.305 0.917
Dy 0.310 0.055 0.324
Dy 0.690 0.945 0.676
Dy 0.611 0.695 0.083
Cu 0.862 0.539 0.736
Cu 0.138 0.461 0.264
Pb 0.935 0.766 0.365
Pb 0.250 0.689 0.812
Pb 0.750 0.311 0.188
Pb 0.065 0.234 0.635
Pb 0.000 0.000 0.000


Below is a relaxed structure of Dy2CuPb, with properties calculated at the PBE level.

Computed properties:
SG: R-3m (166)
DFT formation energy in eV/atom: 0.084
Final energy in eV/atom: -4.168
M_tot in μB per atom: 0.000

Cell lengths 3.630, 3.630, 10.377 Å; angles 79.93, 79.93, 60.00 degrees
Fractional coordinates of all 4 atoms:
Pb 0.000 0.000 0.000
Cu 0.500 0.500 0.500
Dy 0.104 0.104 0.688
Dy 0.896 0.896 0.312


Below is a relaxed structure of Dy6Cu2Pb, with properties calculated at the PBE level.

Computed properties:
SG: Immm (71)
DFT formation energy in eV/atom: -0.238
Final energy in eV/atom: -4.628
M_tot in μB per atom: 0.000

Cell lengths 8.570, 8.570, 8.570 Å; angles 105.31, 109.53, 113.68 degrees
Fractional coordinates of all 18 atoms:
Dy 0.526 0.713 0.814
Dy 0.474 0.287 0.186
Dy 0.101 0.287 0.814
Dy 0.899 0.713 0.186
Dy 0.798 0.766 0.563
Dy 0.202 0.234 0.437
Dy 0.202 0.766 0.968
Dy 0.798 0.234 0.032
Dy 0.691 0.371 0.679
Dy 0.309 0.629 0.321
Dy 0.309 0.988 0.679
Dy 0.691 0.012 0.321
Cu 0.500 0.382 0.882
Cu 0.500 0.618 0.118
Cu 0.648 0.000 0.648
Cu 0.352 0.000 0.352
Pb 0.000 0.500 0.500
Pb 0.000 0.000 0.000


Below is a relaxed structure of Dy2CuPb, with properties calculated at the PBE level.

Computed properties:
SG: P4/mmm (123)
DFT formation energy in eV/atom: -0.319
Final energy in eV/atom: -4.571
M_tot in μB per atom: 0.001

Cell lengths 3.479, 3.479, 8.126 Å; angles 90.00, 90.00, 90.00 degrees
Fractional coordinates of all 4 atoms:
Pb 0.500 0.500 0.500
Cu 0.500 0.500 0.000
Dy 0.000 0.000 0.785
Dy 0.000 0.000 0.215